The following is a PBE calculation of crystalline LiDySeS at its relaxed geometry, from the Open Quantum Materials Database.

## Properties
* total DFT energy (no corrections): -5.300 eV per atom
* M_tot: 0.001 μB per formula unit

Structure (CIF):
```
data_LiDySeS
_chemical_formula_sum 'Li3 Dy3 Se3 S3'
_symmetry_space_group_name_H-M 'R 3 m'
_symmetry_Int_Tables_number 160
_symmetry_space_group_name_Hall 'R 3 -2"'
_cell_length_a 3.9799
_cell_length_b 3.9799
_cell_length_c 18.8258
_cell_angle_alpha 90.00
_cell_angle_beta 90.00
_cell_angle_gamma 120.00
loop_
_atom_site_label
_atom_site_fract_x
_atom_site_fract_y
_atom_site_fract_z
_atom_site_occupancy
Li1 0.0000 0.0000 0.0000 1
Dy1 0.0000 0.0000 0.5049 1
Se1 0.0000 0.0000 0.7477 1
S1 0.0000 0.0000 0.2507 1
```